Computed, not measured: a geometry-optimized FeP2IrO structure at the PBE with a Hubbard U level of DFT.

Results
* DOS(E_F): 2.59 states/eV/cell
* spin magnetization: 0.00 Bohr magnetons per cell
* excess energy over the best structure of this formula in the dataset: 190 meV/atom

a = 4.533 Å, b = 4.533 Å, c = 3.255 Å
α = 90.00°, β = 90.00°, γ = 90.00°
Positions (direct):
P: 0.500 0.000 0.000
P: 0.000 0.500 0.000
Fe: 0.000 0.000 0.000
O: 0.000 0.000 0.500
Ir: 0.500 0.500 0.500